Entry from Alexandria via LeMat-Bulk: a geometry-optimized YPt2Rh structure (GGA-PBE).

Computed properties:
Energy of formation = -570.1 meV per atom
Relative energy among the computed polymorphs = 254.7 meV per atom

Lattice parameters (Å, degrees): 3.5249 3.5249 5.8161 90.00 90.00 90.00
Element x y z (fractional)
Y  0.5000  0.5000  0.7500
Pt  0.0000  0.0000  0.4760
Pt  0.0000  0.0000  0.0240
Rh  0.5000  0.5000  0.2500